Entry 1:
Material: La2NdRuO8
Method: DFT, PBE
State: relaxed

Values from the calculation:
total magnetic moment	1.0	Bohr magnetons per cell
E_form (uncorrected)	-2.300	eV per atom

Lattice parameters (Å, degrees): 4.785 5.404 7.112 92.17 90.79 91.65
Space group P-1 (No. 2)
One atom of each set of equivalent atoms:
1 La 0.053 0.037 0.254
2 Nd 0.500 0.500 0.000
3 Ru 0.500 0.500 0.500
4 O 0.121 0.229 0.982
5 O 0.176 0.312 0.531
6 O 0.337 0.684 0.300
7 O 0.404 0.741 0.711

Entry 2:
Material: LuCuNiPb
Method: DFT, PBE
State: relaxed

Values from the calculation:
calculated formation energy	-0.22	eV per atom
total magnetic moment	0.0	Bohr magnetons per cell

Lattice parameters (Å, degrees): 6.584 6.584 6.584 90.00 90.00 90.00
Space group F-43m (No. 216)
One atom of each set of equivalent atoms:
1 Lu 0.000 0.000 0.000
2 Cu 0.250 0.250 0.250
3 Ni 0.250 0.250 0.750
4 Pb 0.000 0.000 0.500

Entry 3:
Material: ErMgSe2
Method: DFT, PBE
State: relaxed

Values from the calculation:
total magnetic moment	0.0	Bohr magnetons per cell
energy above the most stable polymorph in this dataset	21	meV per atom
E_form (uncorrected)	-1.396	eV per atom

Lattice parameters (Å, degrees): 3.8729 3.8729 20.5659 90.00 90.00 120.00
Space group R-3m (No. 166, hexagonal axes)
One atom of each set of equivalent atoms:
1 Er 0.0000 0.0000 0.0000
2 Mg 0.0000 0.0000 0.5000
3 Se 0.0000 0.0000 0.2446

Entry 4:
Material: Pb3ICl
Method: DFT, PBE
State: relaxed

Values from the calculation:
total magnetic moment	0.0	Bohr magnetons per cell
energy above the most stable polymorph in this dataset	242	meV per atom
E_form (uncorrected)	0.476	eV per atom

Lattice parameters (Å, degrees): 6.081 6.081 6.081 90.00 90.00 90.00
Space group Pm-3m (No. 221)
One atom of each set of equivalent atoms:
1 Pb 0.000 0.000 0.500
2 I 0.000 0.000 0.000
3 Cl 0.500 0.500 0.500

Entry 5:
Material: Na2Tm2ZrSe6
Method: DFT, PBE
State: relaxed

Values from the calculation:
total magnetic moment	0.0	Bohr magnetons per cell
E_form (uncorrected)	-1.588	eV per atom

Lattice parameters (Å, degrees): 6.967 11.977 7.477 90.00 108.18 90.00
Space group C2/m (No. 12)
One atom of each set of equivalent atoms:
1 Na 0.000 0.169 0.000
2 Tm 0.000 0.333 0.500
3 Zr 0.000 0.000 0.500
4 Se 0.236 0.161 0.722
5 Se 0.247 0.000 0.279

Entry 6:
Material: Cd2RuAu
Method: DFT, PBE
State: relaxed

Values from the calculation:
calculated formation energy	0.15	eV per atom
total magnetic moment	1.3	Bohr magnetons per cell
energy above the most stable polymorph in this dataset	41	meV per atom

Lattice parameters (Å, degrees): 2.949 2.949 8.355 90.00 90.00 90.00
Space group P4/mmm (No. 123)
One atom of each set of equivalent atoms:
1 Cd 0.000 0.000 0.238
2 Ru 0.500 0.500 0.000
3 Au 0.500 0.500 0.500

Entry 7:
Material: Tl3Hg4Pb4
Method: DFT, PBE
State: relaxed

Values from the calculation:
calculated formation energy	0.04	eV per atom
total magnetic moment	0.0	Bohr magnetons per cell

Lattice parameters (Å, degrees): 19.116 9.700 3.670 90.00 101.00 90.00
Space group C2/m (No. 12)
One atom of each set of equivalent atoms:
1 Tl 0.000 0.000 0.000
2 Tl 0.092 0.500 0.093
3 Hg 0.000 0.277 0.500
4 Hg 0.233 0.500 0.734
5 Pb 0.169 0.195 0.669

Entry 8:
Material: NaTaF5
Method: DFT, PBE
State: relaxed

Values from the calculation:
total magnetic moment	4.0	Bohr magnetons per cell
E_form (uncorrected)	-2.972	eV per atom

Lattice parameters (Å, degrees): 9.247 6.870 8.122 90.00 114.83 90.00
Space group C2/c (No. 15)
One atom of each set of equivalent atoms:
1 Na 0.000 0.000 0.250
2 Ta 0.000 0.500 0.000
3 F 0.000 0.497 0.250
4 F 0.002 0.212 0.999
5 F 0.234 0.496 0.615

Entry 9:
Material: CeHgRh2
Method: DFT, PBE
State: relaxed

Values from the calculation:
calculated formation energy	-0.57	eV per atom
total magnetic moment	0.2	Bohr magnetons per cell

Lattice parameters (Å, degrees): 4.443 4.443 3.770 90.00 90.00 90.00
Space group P4/mmm (No. 123)
One atom of each set of equivalent atoms:
1 Ce 0.000 0.000 0.000
2 Hg 0.500 0.500 0.000
3 Rh 0.000 0.500 0.500

Entry 10:
Material: Ba2Ca2Tc
Method: DFT, PBE
State: relaxed

Values from the calculation:
calculated formation energy	0.89	eV per atom
total magnetic moment	5.9	Bohr magnetons per cell
energy above the most stable polymorph in this dataset	131	meV per atom

Lattice parameters (Å, degrees): 4.534 4.534 21.548 90.00 90.00 90.00
Space group I4/mmm (No. 139)
One atom of each set of equivalent atoms:
1 Ba 0.000 0.000 0.085
2 Ca 0.000 0.500 0.250
3 Tc 0.000 0.000 0.500

Entry 11:
Material: SiBi
Method: DFT, PBE
State: relaxed

Values from the calculation:
total magnetic moment	0.0	Bohr magnetons per cell
E_form (uncorrected)	0.492	eV per atom

Lattice parameters (Å, degrees): 4.2419 4.2419 8.5142 90.00 90.00 120.00
Space group P6_3mc (No. 186)
One atom of each set of equivalent atoms:
1 Si 0.3333 0.6667 0.0000
2 Bi 0.3333 0.6667 0.3511

Q: Which of these has the highest total magnetic moment?
A: Ba2Ca2Tc

Q: total magnetic moment of number 2 (LuCuNiPb)?
A: 0.0 Bohr magnetons per cell